[1]
The following is a GGA-PBE calculation of a relaxed structure of RbZr2W, from Alexandria.

```
RbZr2W
1.0
7.995 0.000 0.000
0.000 7.995 0.000
3.998 3.998 5.778
Rb Zr W
2 4 2
Direct
0.500 0.500 0.000 Rb
0.250 0.750 0.500 Rb
0.875 0.125 0.250 Zr
0.875 0.625 0.250 Zr
0.375 0.125 0.750 Zr
0.875 0.125 0.750 Zr
0.000 0.000 0.000 W
0.750 0.250 0.500 W
```

Values from the calculation:
Its excess energy over the best structure of this formula in the dataset is 0.287 eV/atom. For the energy of formation from the pure elements, the calculation gives 1544.9 meV per atom.

[2]
The following is a GGA-PBE calculation of a relaxed structure of Rb3PrTh3Te8, from Alexandria.

```
Rb3PrTh3Te8
1.0
-3.717 -2.176 -7.935
-4.403 -1.755 7.680
0.334 9.852 -2.859
Rb Pr Th Te
3 1 3 8
Direct
0.000 0.000 0.000 Rb
0.000 0.500 0.000 Rb
0.500 0.500 0.000 Rb
0.000 0.000 0.500 Pr
0.500 0.000 0.500 Th
0.500 0.500 0.500 Th
0.000 0.500 0.500 Th
0.264 0.527 0.291 Te
0.736 0.473 0.709 Te
0.760 0.521 0.293 Te
0.240 0.479 0.707 Te
0.760 0.032 0.293 Te
0.240 0.968 0.707 Te
0.272 0.032 0.292 Te
0.728 0.968 0.708 Te
```

Values from the calculation:
The formation energy without anion corrections is -1.24 eV per atom.

[3]
The following is a GGA-PBE calculation of a relaxed structure of InTePd2, from Alexandria.

```
InTePd2
1.0
3.945 0.000 0.000
1.973 3.417 0.000
1.973 1.139 6.398
In Te Pd
1 1 2
Direct
0.498 0.498 0.505 In
0.669 0.669 0.992 Te
0.087 0.087 0.740 Pd
0.246 0.246 0.263 Pd
```

Values from the calculation:
The formation energy without anion corrections is -0.30 eV per atom. Its excess energy over the best structure of this formula in the dataset is 0.139 eV/atom.

[4]
The following is a GGA-PBE calculation of a relaxed structure of Li2RuBr, from Alexandria.

```
Li2RuBr
1.0
8.684 -0.076 -0.045
8.109 3.108 -0.045
8.109 1.464 2.742
Br Li Ru
1 2 1
Direct
0.747 0.747 0.747 Br
0.014 0.014 0.014 Li
0.242 0.242 0.242 Li
0.497 0.497 0.497 Ru
```

Values from the calculation:
The formation energy without anion corrections is 0.27 eV per atom. Its excess energy over the best structure of this formula in the dataset is 0.294 eV/atom.

[5]
The following is a GGA-PBE calculation of a relaxed structure of CeSc2As, from Alexandria.

```
CeSc2As
1.0
3.547 0.000 0.000
0.000 3.547 0.000
0.000 0.000 6.961
Sc As Ce
2 1 1
Direct
0.000 0.000 0.793 Sc
0.000 0.000 0.207 Sc
0.500 0.500 0.000 As
0.500 0.500 0.500 Ce
```

Values from the calculation:
Its excess energy over the best structure of this formula in the dataset is 0.000 eV/atom. For the energy of formation from the pure elements, the calculation gives -538.3 meV per atom.

[6]
The following is a GGA-PBE calculation of a relaxed structure of CsAcPaSe4, from Alexandria.

```
CsAcPaSe4
1.0
-6.110 -0.330 6.429
8.952 -0.567 2.353
-3.857 8.264 -3.241
Cs Ac Pa Se
2 2 2 8
Direct
0.860 0.721 0.110 Cs
0.140 0.279 0.890 Cs
0.500 0.000 0.500 Ac
0.500 0.000 0.000 Ac
0.500 0.500 0.500 Pa
0.000 0.500 0.500 Pa
0.737 0.475 0.681 Se
0.312 0.064 0.282 Se
0.752 0.064 0.282 Se
0.737 0.475 0.294 Se
0.263 0.525 0.706 Se
0.688 0.936 0.718 Se
0.248 0.936 0.718 Se
0.263 0.525 0.319 Se
```

Values from the calculation:
The formation energy without anion corrections is -1.55 eV per atom.

[7]
The following is a GGA-PBE calculation of a relaxed structure of Tb6Tm2Sc3, from Alexandria.

```
Tb6Tm2Sc3
1.0
7.320 -1.861 1.705
-2.041 7.694 2.954
3.245 6.250 10.291
Tb Tm Sc
6 2 3
Direct
0.092 0.630 0.731 Tb
0.732 0.094 0.816 Tb
0.908 0.370 0.269 Tb
0.268 0.906 0.184 Tb
0.805 0.720 0.549 Tb
0.195 0.280 0.451 Tb
0.642 0.457 0.089 Tm
0.358 0.543 0.911 Tm
0.000 0.000 0.000 Sc
0.545 0.811 0.367 Sc
0.455 0.189 0.633 Sc
```

Values from the calculation:
For the energy of formation from the pure elements, the calculation gives 44.3 meV per atom.

[8]
The following is a GGA-PBE calculation of a relaxed structure of BaAcTe2H, from Alexandria.

```
BaAcTe2H
1.0
-1.126 4.515 -0.829
-1.394 0.477 4.491
14.520 4.364 4.043
Ba Ac Te H
2 2 4 2
Direct
0.500 0.000 0.584 Ba
0.000 0.500 0.416 Ba
0.500 0.000 0.130 Ac
0.000 0.500 0.870 Ac
0.000 0.500 0.674 Te
0.000 0.500 0.096 Te
0.500 0.000 0.904 Te
0.500 0.000 0.326 Te
0.000 0.000 0.500 H
0.500 0.500 0.500 H
```

Values for total energy, eV/atom, ordered as above
-6.209, -4.914, -4.367, -3.429, -6.350, -5.603, -5.021, -4.389